(1)
Below is a geometry-optimized InNi3Se structure, with properties calculated at the PBE level.

abc: 4.6665 4.6665 4.6665
angles: 90.00 90.00 90.00
Space group Pm-3m (No. 221)
Inequivalent atoms, fractional coordinates:
In (0.0000, 0.0000, 0.0000) (multiplicity 1)
Ni (0.0000, 0.0000, 0.5000) (multiplicity 3)
Se (0.5000, 0.5000, 0.5000) (multiplicity 1)

Calculated values
crystal system	cubic
ρ	6.0	Mg/m³
relative energy among the computed polymorphs	0.9147	eV per atom

(2)
Below is a geometry-optimized InNi2Se structure, with properties calculated at the PBE level.

abc: 3.1181 3.1181 6.2379
angles: 90.00 90.00 90.00
Space group P4/mmm (No. 123)
Inequivalent atoms, fractional coordinates:
In (0.0000, 0.0000, 0.0000) (multiplicity 1)
Ni (0.5000, 0.5000, 0.2797) (multiplicity 2)
Se (0.0000, 0.0000, 0.5000) (multiplicity 1)

Calculated values
crystal system	tetragonal
ρ	8.5	Mg/m³
relative energy among the computed polymorphs	0.1268	eV per atom

(3)
Below is a geometry-optimized In2NiSe structure, with properties calculated at the PBE level.

abc: 3.4456 4.8727 4.8843
angles: 90.00 90.00 90.00
Space group Pmmm (No. 47)
Inequivalent atoms, fractional coordinates:
In (0.0000, 0.0000, 0.0000) (multiplicity 1)
In (0.0000, 0.5000, 0.5000) (multiplicity 1)
Ni (0.5000, 0.0000, 0.5000) (multiplicity 1)
Se (0.5000, 0.5000, 0.0000) (multiplicity 1)

Calculated values
crystal system	orthorhombic
E	-3.521	eV per atom
ρ	7.4	Mg/m³

(4)
Below is a geometry-optimized In2NiSe structure, with properties calculated at the PBE level.

abc: 9.4702 3.3506 5.9419
angles: 90.00 112.61 90.00
Space group Cm (No. 8)
Inequivalent atoms, fractional coordinates:
In (0.0000, 0.0000, 0.0000) (multiplicity 2)
In (0.1771, 0.0000, 0.6487) (multiplicity 2)
Ni (0.4462, 0.0000, 0.6145) (multiplicity 2)
Se (0.3285, 0.5000, 0.3045) (multiplicity 2)

Calculated values
crystal system	monoclinic
E	-3.794	eV per atom
ρ	7.0	Mg/m³